# Ca2CoH2 (PBE-GGA, optimized geometry)
# Energy above the most stable polymorph in this dataset = 0 kJ/mol of formula units
data_Ca2CoH2
_chemical_formula_sum 'Ca4 Co2 H4'
_cell_length_a 4.829
_cell_length_b 4.829
_cell_length_c 7.106
_cell_angle_alpha 90.00
_cell_angle_beta 90.00
_cell_angle_gamma 90.00
_symmetry_space_group_name_H-M 'I 4/m m m'
_symmetry_Int_Tables_number 139
_symmetry_space_group_name_Hall '-I 4 2'
loop_
_atom_site_label
_atom_site_type_symbol
_atom_site_fract_x
_atom_site_fract_y
_atom_site_fract_z
Ca1 Ca 0.000 0.500 0.250
Co1 Co 0.000 0.000 0.000
H1 H 0.000 0.000 0.223

=====

# CaCo2H8 (PBE-GGA, optimized geometry)
# Energy above the most stable polymorph in this dataset = 14 kJ/mol of formula units
data_CaCo2H8
_chemical_formula_sum 'Ca2 Co4 H16'
_cell_length_a 4.948
_cell_length_b 7.870
_cell_length_c 3.602
_cell_angle_alpha 90.00
_cell_angle_beta 90.13
_cell_angle_gamma 90.00
_symmetry_space_group_name_H-M 'C 1 2/m 1'
_symmetry_Int_Tables_number 12
loop_
_symmetry_equiv_pos_as_xyz
'x,y,z'
'-x,-y,-z'
'-x,y,-z'
'x,-y,z'
'x+1/2,y+1/2,z'
'-x+1/2,-y+1/2,-z'
'-x+1/2,y+1/2,-z'
'x+1/2,-y+1/2,z'
loop_
_atom_site_label
_atom_site_type_symbol
_atom_site_fract_x
_atom_site_fract_y
_atom_site_fract_z
Ca1 Ca 0.000 0.000 0.000
Co1 Co 0.000 0.324 0.500
H1 H 0.000 0.312 0.000
H2 H 0.003 0.500 0.735
H3 H 0.178 0.149 0.501

=====

# CaHfCo2H8

An optimized crystal structure of CaHfCo2H8 (PBE-GGA, the Alexandria database).

```
data_CaHfCo2H8
_chemical_formula_sum 'Ca3 Hf3 Co6 H24'
_cell_length_a 4.4967
_cell_length_b 4.4967
_cell_length_c 17.7747
_cell_angle_alpha 90.00
_cell_angle_beta 90.00
_cell_angle_gamma 120.00
_symmetry_space_group_name_H-M 'R -3'
_symmetry_Int_Tables_number 148
_symmetry_space_group_name_Hall '-R 3'
loop_
_atom_site_label
_atom_site_type_symbol
_atom_site_fract_x
_atom_site_fract_y
_atom_site_fract_z
Ca1 Ca 0.0000 0.0000 0.0000
Hf1 Hf 0.0000 0.0000 0.5000
Co1 Co 0.0000 0.0000 0.2209
H1 H 0.0000 0.0000 0.3052
H2 H 0.0134 0.7105 0.8988
```

=====

# KCaCoH2

An optimized crystal structure of KCaCoH2 (PBE-GGA, the Alexandria database).

```
data_KCaCoH2
_chemical_formula_sum 'K1 Ca1 Co1 H2'
_cell_length_a 4.581
_cell_length_b 4.581
_cell_length_c 5.512
_cell_angle_alpha 90.00
_cell_angle_beta 90.00
_cell_angle_gamma 90.00
_symmetry_space_group_name_H-M 'P 4/m m m'
_symmetry_Int_Tables_number 123
_symmetry_space_group_name_Hall '-P 4 2'
loop_
_atom_site_label
_atom_site_type_symbol
_atom_site_fract_x
_atom_site_fract_y
_atom_site_fract_z
K1 K 0.000 0.000 0.000
Ca1 Ca 0.500 0.500 0.500
Co1 Co 0.000 0.000 0.500
H1 H 0.000 0.500 0.000
```

=====

# Ca2LaCoH8

An optimized crystal structure of Ca2LaCoH8 (PBE-GGA, the Alexandria database).

```
data_Ca2LaCoH8
_chemical_formula_sum 'Ca2 La1 Co1 H8'
_cell_length_a 4.7464
_cell_length_b 4.7464
_cell_length_c 6.6892
_cell_angle_alpha 90.00
_cell_angle_beta 90.00
_cell_angle_gamma 120.00
_symmetry_space_group_name_H-M 'P -3 m 1'
_symmetry_Int_Tables_number 164
_symmetry_space_group_name_Hall '-P 3 2"'
loop_
_atom_site_label
_atom_site_type_symbol
_atom_site_fract_x
_atom_site_fract_y
_atom_site_fract_z
Ca1 Ca 0.3333 0.6667 0.3659
La1 La 0.0000 0.0000 0.0000
Co1 Co 0.0000 0.0000 0.5000
H1 H 0.1536 0.3072 0.6528
H2 H 0.3333 0.6667 0.0339
```

=====

# Li2CaCoH8

An optimized crystal structure of Li2CaCoH8 (PBE-GGA, the Alexandria database).

```
data_Li2CaCoH8
_chemical_formula_sum 'Li2 Ca1 Co1 H8'
_cell_length_a 4.3338
_cell_length_b 4.3338
_cell_length_c 6.0238
_cell_angle_alpha 90.00
_cell_angle_beta 90.00
_cell_angle_gamma 120.00
_symmetry_space_group_name_H-M 'P -3 m 1'
_symmetry_Int_Tables_number 164
_symmetry_space_group_name_Hall '-P 3 2"'
loop_
_atom_site_label
_atom_site_type_symbol
_atom_site_fract_x
_atom_site_fract_y
_atom_site_fract_z
Li1 Li 0.3333 0.6667 0.3808
Ca1 Ca 0.0000 0.0000 0.0000
Co1 Co 0.0000 0.0000 0.5000
H1 H 0.1637 0.3274 0.6509
H2 H 0.3333 0.6667 0.0415
```

=====

# LiCa2CoH6

An optimized crystal structure of LiCa2CoH6 (PBE-GGA, the Alexandria database).

```
data_LiCa2CoH6
_chemical_formula_sum 'Li1 Ca2 Co1 H6'
_cell_length_a 4.9515
_cell_length_b 4.9515
_cell_length_c 4.6060
_cell_angle_alpha 90.00
_cell_angle_beta 90.00
_cell_angle_gamma 120.00
_symmetry_space_group_name_H-M 'P -3 m 1'
_symmetry_Int_Tables_number 164
_symmetry_space_group_name_Hall '-P 3 2"'
loop_
_atom_site_label
_atom_site_type_symbol
_atom_site_fract_x
_atom_site_fract_y
_atom_site_fract_z
Li1 Li 0.0000 0.0000 0.0000
Ca1 Ca 0.3333 0.6667 0.2876
Co1 Co 0.0000 0.0000 0.5000
H1 H 0.1571 0.3142 0.7094
```

=====

# LiCaCoH6

An optimized crystal structure of LiCaCoH6 (PBE-GGA, the Alexandria database).

```
data_LiCaCoH6
_chemical_formula_sum 'Li1 Ca1 Co1 H6'
_cell_length_a 4.5859
_cell_length_b 4.5859
_cell_length_c 4.4056
_cell_angle_alpha 90.00
_cell_angle_beta 90.00
_cell_angle_gamma 120.00
_symmetry_space_group_name_H-M 'P 3 1 2'
_symmetry_Int_Tables_number 149
loop_
_symmetry_equiv_pos_as_xyz
'x,y,z'
'-y,x-y,z'
'-x+y,-x,z'
'-y,-x,-z'
'-x+y,y,-z'
'x,x-y,-z'
loop_
_atom_site_label
_atom_site_type_symbol
_atom_site_fract_x
_atom_site_fract_y
_atom_site_fract_z
Li1 Li 0.0000 0.0000 0.0000
Ca1 Ca 0.6667 0.3333 0.5000
Co1 Co 0.3333 0.6667 0.0000
H1 H 0.0884 0.3859 0.2122
```

=====

| no. | DFT total energy (eV/atom) |
| --- | --- |
| 1 | -3.756 |
| 2 | -4.063 |
| 3 | -4.558 |
| 4 | -2.465 |
| 5 | -4.015 |
| 6 | -3.528 |
| 7 | -3.743 |
| 8 | -3.786 |